(1)
# GGA-PBE ZnAs2Rh2, optimized geometry
data_ZnAs2Rh2
_cell_length_a 3.905
_cell_length_b 3.905
_cell_length_c 11.600
_cell_angle_alpha 90.00
_cell_angle_beta 90.00
_cell_angle_gamma 90.00
_symmetry_space_group_name_H-M 'I 4/m m m'
_symmetry_Int_Tables_number 139
_symmetry_space_group_name_Hall '-I 4 2'
loop_
_atom_site_label
_atom_site_type_symbol
_atom_site_fract_x
_atom_site_fract_y
_atom_site_fract_z
Zn1 Zn 0.000 0.000 0.000
As1 As 0.000 0.500 0.250
Rh1 Rh 0.000 0.000 0.384
# Total magnetization in μB per formula unit: 0.00
# Final energy in eV per atom: -5.06


(2)
# GGA-PBE NbPb2ClO4, optimized geometry
data_NbPb2ClO4
_cell_length_a 10.507
_cell_length_b 3.281
_cell_length_c 10.699
_cell_angle_alpha 90.00
_cell_angle_beta 117.70
_cell_angle_gamma 90.00
_symmetry_space_group_name_H-M 'C 1 2/m 1'
_symmetry_Int_Tables_number 12
loop_
_symmetry_equiv_pos_as_xyz
'x,y,z'
'-x,-y,-z'
'-x,y,-z'
'x,-y,z'
'x+1/2,y+1/2,z'
'-x+1/2,-y+1/2,-z'
'-x+1/2,y+1/2,-z'
'x+1/2,-y+1/2,z'
loop_
_atom_site_label
_atom_site_type_symbol
_atom_site_fract_x
_atom_site_fract_y
_atom_site_fract_z
Nb1 Nb 0.000 0.000 0.000
Pb1 Pb 0.108 0.500 0.763
Cl1 Cl 0.000 0.000 0.500
O1 O 0.023 0.000 0.195
O2 O 0.138 0.500 0.045
# Total magnetization in μB per formula unit: 0.00
# Formation energy (no corrections) in eV/f.u.: -13.1


(3)
# GGA-PBE Th2BPdPt6, optimized geometry
data_Th2BPdPt6
_cell_length_a 5.6774
_cell_length_b 5.6774
_cell_length_c 40.3645
_cell_angle_alpha 90.00
_cell_angle_beta 90.00
_cell_angle_gamma 120.00
_symmetry_space_group_name_H-M 'R -3 m'
_symmetry_Int_Tables_number 166
_symmetry_space_group_name_Hall '-R 3 2"'
loop_
_atom_site_label
_atom_site_type_symbol
_atom_site_fract_x
_atom_site_fract_y
_atom_site_fract_z
Th1 Th 0.0000 0.0000 0.1071
Th2 Th 0.0000 0.0000 0.2752
B1 B 0.0000 0.0000 0.0000
B2 B 0.0000 0.0000 0.5000
Pd1 Pd 0.0000 0.0000 0.4191
Pt1 Pt 0.0062 0.5031 0.3011
Pt2 Pt 0.0210 0.5105 0.8636
# Total magnetization in μB per formula unit: 0.00
# Final energy in eV per atom: -7.15


(4)
# GGA-PBE Al6ZnGa2, optimized geometry
data_Al6ZnGa2
_cell_length_a 15.543
_cell_length_b 7.587
_cell_length_c 5.517
_cell_angle_alpha 90.00
_cell_angle_beta 93.60
_cell_angle_gamma 90.00
_symmetry_space_group_name_H-M 'C 1 2/c 1'
_symmetry_Int_Tables_number 15
loop_
_symmetry_equiv_pos_as_xyz
'x,y,z'
'-x,-y,-z'
'-x,y,-z+1/2'
'x,-y,z+1/2'
'x+1/2,y+1/2,z'
'-x+1/2,-y+1/2,-z'
'-x+1/2,y+1/2,-z+1/2'
'x+1/2,-y+1/2,z+1/2'
loop_
_atom_site_label
_atom_site_type_symbol
_atom_site_fract_x
_atom_site_fract_y
_atom_site_fract_z
Al1 Al 0.079 0.000 0.370
Al2 Al 0.128 0.304 0.103
Al3 Al 0.129 0.303 0.603
Zn1 Zn 0.000 0.498 0.750
Ga1 Ga 0.245 0.001 0.117
# Total magnetization in μB per formula unit: 0.00
# Final energy in eV per atom: -3.22